This record from Alexandria via LeMat-Bulk describes a geometry-optimized CrNi structure. The functional is PBE-GGA.

## Properties
Crystal system: cubic

```
data_CrNi
_chemical_formula_sum 'Cr4 Ni4'
_symmetry_space_group_name_H-M 'F m -3 m'
_symmetry_Int_Tables_number 225
_symmetry_space_group_name_Hall '-F 4 2 3'
_cell_length_a 4.7877
_cell_length_b 4.7877
_cell_length_c 4.7877
_cell_angle_alpha 90.00
_cell_angle_beta 90.00
_cell_angle_gamma 90.00
loop_
_atom_site_label
_atom_site_type_symbol
_atom_site_fract_x
_atom_site_fract_y
_atom_site_fract_z
_atom_site_occupancy
Cr1 Cr 0.0000 0.0000 0.0000 1
Ni1 Ni 0.0000 0.0000 0.5000 1
```

---

This record from Alexandria via LeMat-Bulk describes a geometry-optimized CeZr2Os structure. The functional is PBE-GGA.

## Properties
Crystal system: cubic

```
data_CeZr2Os
_chemical_formula_sum 'Ce4 Zr8 Os4'
_symmetry_space_group_name_H-M 'F m -3 m'
_symmetry_Int_Tables_number 225
_symmetry_space_group_name_Hall '-F 4 2 3'
_cell_length_a 6.8487
_cell_length_b 6.8487
_cell_length_c 6.8487
_cell_angle_alpha 90.00
_cell_angle_beta 90.00
_cell_angle_gamma 90.00
loop_
_atom_site_label
_atom_site_type_symbol
_atom_site_fract_x
_atom_site_fract_y
_atom_site_fract_z
_atom_site_occupancy
Ce1 Ce 0.0000 0.0000 0.0000 1
Zr1 Zr 0.2500 0.2500 0.2500 1
Os1 Os 0.0000 0.0000 0.5000 1
```

---

no.,total DFT energy (no corrections) (eV/cell),density of states at the Fermi level (states/eV per cell)
1,-54.733,14.73
2,-138.808,23.17